Entry from the Alexandria database: a relaxed Dy2CoNi crystal (PBE-GGA).

a b c (Å): 3.9468 5.5698 5.5698
angles (deg): 40.23 90.00 90.00
Last column: nearest neighbours and their distance in Å.
Atoms (fractional coordinates):
Dy  0.0000  0.0000  0.0000  4 Co 2.85, 3 Ni 2.91-3.04
Dy  0.5000  0.2836  0.2836  4 Ni 2.86, 3 Co 2.93-3.02
Co  0.5000  0.5722  0.5722  2 Ni 2.44
Ni  0.0000  0.7091  0.7091  2 Co 2.44

Values from the calculation:
Space-group type: No. 38
Mass density in Mg/m³: 9.29
Energy of formation in eV per atom: -0.32

Entry from the Alexandria database: a relaxed DyCoNi crystal (PBE-GGA).

a b c (Å): 4.5192 4.5192 5.2786
angles (deg): 90.00 90.00 114.00
Last column: nearest neighbours and their distance in Å.
Atoms (fractional coordinates):
Dy  0.1561  0.8439  0.7500  5 Ni 2.65-2.80, 2 Co 2.92
Dy  0.8439  0.1561  0.2500  5 Ni 2.65-2.80, 2 Co 2.92
Co  0.5000  0.5000  0.0000  2 Ni 2.55, 2 Co 2.64
Co  0.5000  0.5000  0.5000  2 Ni 2.55, 2 Co 2.64
Ni  0.2128  0.7872  0.2500  2 Co 2.55, 5 Dy 2.65-2.80
Ni  0.7872  0.2128  0.7500  2 Co 2.55, 5 Dy 2.65-2.80

Values from the calculation:
Space-group type: No. 63
Mass density in Mg/m³: 9.45
Energy of formation in eV per atom: -0.05

Entry from the Alexandria database: a relaxed Dy8Co2Ni crystal (PBE-GGA).

a b c (Å): 7.0239 7.0239 7.9353
angles (deg): 97.77 97.77 55.96
Last column: nearest neighbours and their distance in Å.
Atoms (fractional coordinates):
Dy  0.0824  0.0824  0.2049  2 Co 2.64-2.66, 1 Ni 2.69
Dy  0.0992  0.6012  0.3647  1 Ni 2.59, 1 Co 2.66
Dy  0.3377  0.3377  0.9734  1 Co 2.53
Dy  0.3988  0.9008  0.6353  1 Ni 2.59, 1 Co 2.66
Dy  0.6012  0.0992  0.3647  1 Ni 2.59, 1 Co 2.66
Dy  0.6623  0.6623  0.0266  1 Co 2.53
Dy  0.9008  0.3988  0.6353  1 Ni 2.59, 1 Co 2.66
Dy  0.9176  0.9176  0.7951  2 Co 2.64-2.66, 1 Ni 2.69
Co  0.1321  0.1321  0.8933  5 Dy 2.53-2.66
Co  0.8679  0.8679  0.1067  5 Dy 2.53-2.66
Ni  0.0000  0.0000  0.5000  6 Dy 2.59-2.69

Values from the calculation:
Space-group type: No. 12
Mass density in Mg/m³: 7.65
Energy of formation in eV per atom: 0.10

Entry from the Alexandria database: a relaxed Dy8CoNi2 crystal (PBE-GGA).

a b c (Å): 11.3557 11.3557 7.4796
angles (deg): 101.28 101.28 18.57
Last column: nearest neighbours and their distance in Å.
Atoms (fractional coordinates):
Dy  0.0540  0.0540  0.2304  2 Co 2.64
Dy  0.2088  0.2088  0.1233  3 Ni 2.63-2.89
Dy  0.3170  0.3170  0.5072  2 Ni 2.72
Dy  0.4084  0.4084  0.1884  1 Co 2.71, 2 Ni 2.96
Dy  0.5916  0.5916  0.8116  1 Co 2.71, 2 Ni 2.96
Dy  0.6830  0.6830  0.4928  2 Ni 2.72
Dy  0.7912  0.7912  0.8767  3 Ni 2.63-2.89
Dy  0.9460  0.9460  0.7696  2 Co 2.64
Co  0.5000  0.5000  0.0000  6 Dy 2.64-2.71
Ni  0.1909  0.1909  0.7655  5 Dy 2.63-2.89
Ni  0.8091  0.8091  0.2345  5 Dy 2.63-2.89

Values from the calculation:
Space-group type: No. 12
Polymorph energy (0 for the lowest one) in meV per atom: 67
Mass density in Mg/m³: 8.14
Energy of formation in eV per atom: -0.10

Entry from the Alexandria database: a relaxed Dy2CoNi crystal (PBE-GGA).

a b c (Å): 3.3421 3.3421 6.7512
angles (deg): 90.00 90.00 90.00
Last column: nearest neighbours and their distance in Å.
Atoms (fractional coordinates):
Dy  0.0000  0.0000  0.2461  4 Co 2.89, 4 Ni 2.92
Dy  0.0000  0.0000  0.7539  4 Co 2.89, 4 Ni 2.92
Co  0.5000  0.5000  0.0000  8 Dy 2.89
Ni  0.5000  0.5000  0.5000  8 Dy 2.92

Values from the calculation:
Space-group type: No. 123
Mass density in Mg/m³: 9.75
Energy of formation in eV per atom: -0.28

Entry from the Alexandria database: a relaxed Dy3Co2Ni7 crystal (PBE-GGA).

a b c (Å): 8.6302 8.6302 8.6302
angles (deg): 33.38 33.38 33.38
Last column: nearest neighbours and their distance in Å.
Atoms (fractional coordinates):
Dy  0.0000  0.0000  0.0000  6 Co 2.86, 12 Ni 3.18
Dy  0.1385  0.1385  0.1385  12 Ni 2.84-3.12, 3 Dy 3.18
Dy  0.8615  0.8615  0.8615  12 Ni 2.84-3.12, 3 Dy 3.18
Co  0.3329  0.3329  0.3329  6 Ni 2.44-2.46
Co  0.6671  0.6671  0.6671  6 Ni 2.44-2.46
Ni  0.0811  0.5815  0.5815  2 Co 2.44-2.46, 5 Ni 2.48-2.53
Ni  0.4185  0.4185  0.9189  2 Co 2.44-2.46, 5 Ni 2.48-2.53
Ni  0.4185  0.9189  0.4185  2 Co 2.44-2.46, 5 Ni 2.48-2.53
Ni  0.5000  0.5000  0.5000  6 Ni 2.53
Ni  0.5815  0.0811  0.5815  2 Co 2.44-2.46, 5 Ni 2.48-2.53
Ni  0.5815  0.5815  0.0811  2 Co 2.44-2.46, 5 Ni 2.48-2.53
Ni  0.9189  0.4185  0.4185  2 Co 2.44-2.46, 5 Ni 2.48-2.53

Values from the calculation:
Space-group type: No. 166
Mass density in Mg/m³: 9.74
Energy of formation in eV per atom: -0.35

Entry from the Alexandria database: a relaxed DyCoNi crystal (PBE-GGA).

a b c (Å): 5.0908 5.0908 5.0908
angles (deg): 122.02 120.07 88.21
Last column: nearest neighbours and their distance in Å.
Atoms (fractional coordinates):
Dy  0.3723  0.1223  0.2500  6 Ni 2.92-3.04, 6 Co 2.98-2.99, 4 Dy 3.09-3.11
Dy  0.6277  0.8777  0.7500  6 Ni 2.92-3.04, 6 Co 2.98-2.99, 4 Dy 3.09-3.11
Co  0.0000  0.0000  0.5000  2 Co 2.47, 4 Ni 2.55
Co  0.0000  0.5000  0.0000  2 Co 2.47, 4 Ni 2.55
Ni  0.0000  0.5000  0.5000  2 Ni 2.54, 4 Co 2.55
Ni  0.5000  0.5000  0.0000  2 Ni 2.54, 4 Co 2.55

Values from the calculation:
Space-group type: No. 74
Mass density in Mg/m³: 10.14
Energy of formation in eV per atom: -0.31

Entry from the Alexandria database: a relaxed Dy2CoNi4P3 crystal (PBE-GGA).

a b c (Å): 3.8949 3.8949 9.3666
angles (deg): 90.00 90.00 90.00
Last column: nearest neighbours and their distance in Å.
Atoms (fractional coordinates):
Dy  0.0000  0.5000  0.2477  6 P 2.96-3.06, 8 Ni 2.99-3.03, 2 Co 3.06
Dy  0.5000  0.0000  0.7523  6 P 2.96-3.06, 8 Ni 2.99-3.03, 2 Co 3.06
Co  0.0000  0.0000  0.5000  4 Ni 2.29
Ni  0.0000  0.0000  0.0000  4 P 2.31
Ni  0.0000  0.5000  0.6287  3 P 2.24-2.29, 2 Co 2.29
Ni  0.5000  0.0000  0.3713  3 P 2.24-2.29, 2 Co 2.29
Ni  0.5000  0.5000  0.0000  4 P 2.31
P  0.0000  0.5000  0.8675  5 Ni 2.24-2.31
P  0.5000  0.0000  0.1325  5 Ni 2.24-2.31
P  0.5000  0.5000  0.5000  4 Ni 2.29

Values from the calculation:
Space-group type: No. 115
Mass density in Mg/m³: 8.32
Energy of formation in eV per atom: -0.85

Entry from the Alexandria database: a relaxed Dy2CoNi12P3 crystal (PBE-GGA).

a b c (Å): 6.2262 6.2262 6.2262
angles (deg): 85.13 85.13 85.13
Last column: nearest neighbours and their distance in Å.
Atoms (fractional coordinates):
Dy  0.1882  0.1882  0.1882  6 Ni 2.55-2.70
Dy  0.8118  0.8118  0.8118  6 Ni 2.55-2.70
Co  0.5000  0.5000  0.5000  6 Ni 2.38
Ni  0.1103  0.1103  0.6192  1 Ni 2.34, 2 P 2.53
Ni  0.1103  0.6192  0.1103  1 Ni 2.34, 2 P 2.53
Ni  0.1960  0.6821  0.6821  1 P 2.18, 3 Ni 2.34-2.41, 1 Co 2.38
Ni  0.3179  0.3179  0.8040  1 P 2.18, 3 Ni 2.34-2.41, 1 Co 2.38
Ni  0.3179  0.8040  0.3179  1 P 2.18, 3 Ni 2.34-2.41, 1 Co 2.38
Ni  0.3808  0.8897  0.8897  1 Ni 2.34, 2 P 2.53
Ni  0.6192  0.1103  0.1103  1 Ni 2.34, 2 P 2.53
Ni  0.6821  0.1960  0.6821  1 P 2.18, 3 Ni 2.34-2.41, 1 Co 2.38
Ni  0.6821  0.6821  0.1960  1 P 2.18, 3 Ni 2.34-2.41, 1 Co 2.38
Ni  0.8040  0.3179  0.3179  1 P 2.18, 3 Ni 2.34-2.41, 1 Co 2.38
Ni  0.8897  0.3808  0.8897  1 Ni 2.34, 2 P 2.53
Ni  0.8897  0.8897  0.3808  1 Ni 2.34, 2 P 2.53
P  0.0000  0.5000  0.5000  2 Ni 2.18
P  0.5000  0.0000  0.5000  2 Ni 2.18
P  0.5000  0.5000  0.0000  2 Ni 2.18

Values from the calculation:
Space-group type: No. 166
Mass density in Mg/m³: 8.21
Energy of formation in eV per atom: -0.09

Entry from the Alexandria database: a relaxed DyPaCoNi crystal (PBE-GGA).

a b c (Å): 4.7314 4.7314 4.7314
angles (deg): 60.00 60.00 60.00
Last column: nearest neighbours and their distance in Å.
Atoms (fractional coordinates):
Dy  0.0000  0.0000  0.0000  4 Co 2.90, 4 Ni 2.90
Pa  0.5000  0.5000  0.5000  4 Co 2.90, 4 Ni 2.90
Co  0.7500  0.7500  0.7500  4 Dy 2.90, 4 Pa 2.90
Ni  0.2500  0.2500  0.2500  4 Dy 2.90, 4 Pa 2.90

Values from the calculation:
Space-group type: No. 216
Polymorph energy (0 for the lowest one) in meV per atom: 243
Mass density in Mg/m³: 11.33
Energy of formation in eV per atom: -0.17

Entry from the Alexandria database: a relaxed DyPaCoNi crystal (PBE-GGA).

a b c (Å): 3.8064 6.0170 6.0170
angles (deg): 34.76 90.00 90.00
Last column: nearest neighbours and their distance in Å.
Atoms (fractional coordinates):
Dy  0.0000  0.0000  0.0000  4 Ni 2.80, 1 Co 2.90
Pa  0.5000  0.7335  0.7335  4 Co 2.63, 2 Ni 2.73
Co  0.0000  0.2529  0.2529  4 Pa 2.63, 2 Ni 2.65, 1 Dy 2.90
Ni  0.5000  0.4128  0.4128  2 Co 2.65, 2 Pa 2.73, 4 Dy 2.80

Values from the calculation:
Space-group type: No. 38
Polymorph energy (0 for the lowest one) in meV per atom: 0
Mass density in Mg/m³: 10.80
Energy of formation in eV per atom: -0.42

Entry from the Alexandria database: a relaxed DyCoNiPb crystal (PBE-GGA).

a b c (Å): 4.6529 4.6529 4.6529
angles (deg): 60.00 60.00 60.00
Last column: nearest neighbours and their distance in Å.
Atoms (fractional coordinates):
Dy  0.0000  0.0000  0.0000  4 Co 2.85, 4 Ni 2.85
Co  0.2500  0.2500  0.2500  4 Dy 2.85, 4 Pb 2.85
Ni  0.7500  0.7500  0.7500  4 Pb 2.85, 4 Dy 2.85
Pb  0.5000  0.5000  0.5000  4 Co 2.85, 4 Ni 2.85

Values from the calculation:
Space-group type: No. 216
Mass density in Mg/m³: 11.36
Energy of formation in eV per atom: -0.11